1.
First-principles (PBE) data for a relaxed TlSiAg crystal, as listed in the Alexandria database.

The calculation puts the energy relative to the elements, uncorrected at 0.23 eV per atom. As for the total moment: 0.0 μB per formula unit. As for the crystal system: monoclinic.

It has space group P2_1 (No. 4), with a = 5.678 Å, b = 3.750 Å, c = 6.981 Å, α = 90.00°, β = 113.64° and γ = 90.00°. The inequivalent atoms are Tl at (0.221, 0.000, 0.442), Si at (0.125, 0.249, 0.001) and Ag at (0.411, 0.501, 0.822).

***

2.
First-principles (PBE) data for a relaxed AgH2Cl2O crystal, as listed in the Alexandria database.

As for the total moment: 1.0 μB per formula unit. As for the crystal system: orthorhombic.

It has space group Cmc2_1 (No. 36), with a = 11.218 Å, b = 6.028 Å, c = 6.694 Å, α = 90.00°, β = 90.00° and γ = 90.00°. The inequivalent atoms are Ag at (0.000, 0.000, 0.000), H at (0.069, 0.469, 0.249), Cl at (0.149, 0.133, 0.750) and O at (0.000, 0.369, 0.249).

***

3.
First-principles (PBE) data for a relaxed Nd12AgBi6 crystal, as listed in the Alexandria database.

As for the total moment: 0.0 μB per formula unit. As for the crystal system: trigonal.

It has space group R-3 (No. 148, hexagonal axes), with a = 13.8940 Å, b = 13.8940 Å, c = 12.5615 Å, α = 90.00°, β = 90.00° and γ = 120.00°. The inequivalent atoms are Nd at (0.0265, 0.1898, 0.3848), Nd at (0.0646, 0.2061, 0.8818), Ag at (0.0000, 0.0000, 0.0000) and Bi at (0.0402, 0.2792, 0.6390).

***

4.
First-principles (PBE) data for a relaxed La2YMo2 crystal, as listed in the Alexandria database.

As for the total moment: 0.0 μB per formula unit. As for the energy above the most stable polymorph in this dataset: 0.0000 eV per atom. As for the crystal system: tetragonal.

It has space group P4/mbm (No. 127), with a = 7.861 Å, b = 7.861 Å, c = 4.478 Å, α = 90.00°, β = 90.00° and γ = 90.00°. The inequivalent atoms are La at (0.179, 0.321, 0.000), Y at (0.000, 0.000, 0.500) and Mo at (0.103, 0.603, 0.500).

***

5.
First-principles (PBE) data for a relaxed InReTcO2 crystal, as listed in the Alexandria database.

The calculation puts the energy relative to the elements, uncorrected at -0.37 eV per atom. As for the total moment: 0.0 μB per formula unit. As for the crystal system: tetragonal.

It has space group P4/mmm (No. 123), with a = 3.824 Å, b = 3.824 Å, c = 5.312 Å, α = 90.00°, β = 90.00° and γ = 90.00°. The inequivalent atoms are In at (0.000, 0.000, 0.000), Re at (0.500, 0.500, 0.500), Tc at (0.500, 0.500, 0.000) and O at (0.000, 0.500, 0.500).

***

6.
First-principles (PBE) data for a relaxed SiTePtI crystal, as listed in the Alexandria database.

The calculation puts the energy relative to the elements, uncorrected at -0.15 eV per atom. As for the total moment: 0.0 μB per formula unit. As for the energy above the most stable polymorph in this dataset: 0.1566 eV per atom. As for the crystal system: triclinic.

It has space group P1 (No. 1), with a = 4.129 Å, b = 4.170 Å, c = 7.682 Å, α = 103.68°, β = 92.57° and γ = 114.42°. The inequivalent atoms are Si at (0.000, 0.000, 0.000), Te at (0.523, 0.344, 0.277), Pt at (0.387, 0.703, 0.036) and I at (0.133, 0.223, 0.697).

***

Theoretical density, record by record: 8.30 2.89 7.34 6.71 9.22 6.87 g cm⁻³
D(E_F), record by record: 1.8 5.3 50.8 10.6 2.7 1.2 states/eV per cell
E_tot, record by record: -3.32 -3.68 -4.81 -7.19 -7.47 -4.19 eV per atom